Density functional theory data (PBE) for crystalline Pm4Y2Tm5 at its relaxed geometry.

Cell and atoms, written as POSCAR:
```
Pm4Y2Tm5
1.0
9.5731 -2.8209 0.0000
9.5731 2.8209 0.0000
-0.1489 0.0000 6.5554
Pm Y Tm
4 2 5
direct
0.0216 0.0216 0.2840
0.3051 0.3051 0.9264
0.6949 0.6949 0.0736
0.9784 0.9784 0.7160
0.4009 0.4009 0.4457
0.5991 0.5991 0.5543
0.1304 0.1304 0.8893
0.2090 0.2090 0.4017
0.5000 0.5000 0.0000
0.7910 0.7910 0.5983
0.8696 0.8696 0.1107
```

Output
The space group is C2/m. For the total DFT energy (no corrections), the calculation gives -53.2 eV per cell. As for the density of states at the Fermi level: 17.30 states/eV per cell. For the calculated formation energy, the calculation gives 0.10 eV per atom. As for the energy above the most stable polymorph in this dataset: 0 meV/atom.